No. 1
This record from the Alexandria database describes an optimized crystal structure of Th2MnAs4Rh3. The functional is PBE.

Results
- Density: 10.3 g/cm3
- ΔH_f (0 K): -0.840 eV/atom
- Energy: -73.06 eV per cell

a b c (Å): 4.2975 4.2975 9.8442
angles (deg): 90.00 90.00 90.00
Sites, in units of the cell vectors:
Rh 0.0000 0.0000 0.5000
Rh 0.0000 0.5000 0.1223
Rh 0.5000 0.0000 0.8777
Th 0.5000 0.0000 0.2544
Th 0.0000 0.5000 0.7456
As 0.0000 0.5000 0.3723
As 0.5000 0.5000 0.0000
As 0.5000 0.0000 0.6277
As 0.0000 0.0000 0.0000
Mn 0.5000 0.5000 0.5000

No. 2
This record from the Alexandria database describes an optimized crystal structure of AcGa4Au8. The functional is PBE.

Results
- Density: 13.9 g/cm3
- ΔH_f (0 K): -0.312 eV/atom
- Energy: -46.49 eV per cell

a b c (Å): 5.4660 7.2848 7.2848
angles (deg): 81.91 67.97 67.97
Sites, in units of the cell vectors:
Ga 0.0000 0.0000 0.5000
Ga 0.5000 0.0000 0.5000
Ga 0.5000 0.5000 0.0000
Ga 0.0000 0.5000 0.0000
Ac 0.0000 0.0000 0.0000
Au 0.6575 0.3425 0.3425
Au 0.5000 0.7823 0.2177
Au 0.0000 0.6575 0.3425
Au 0.7177 0.7823 0.7823
Au 0.0000 0.3425 0.6575
Au 0.3425 0.6575 0.6575
Au 0.2823 0.2177 0.2177
Au 0.5000 0.2177 0.7823

No. 3
This record from the Alexandria database describes an optimized crystal structure of K3Np2TlSe6. The functional is PBE.

Results
- Density: 5.6 g/cm3
- ΔE_f (raw): -1116 meV/atom
- Energy: -65.84 eV per cell

a b c (Å): 4.2875 9.2921 9.9842
angles (deg): 103.95 102.40 90.00
Each line ends with the local moment (μB).
Sites, in units of the cell vectors:
Se 0.9726 0.7356 0.9453  -0.13
Se 0.6747 0.1376 0.3494  -0.10
Se 0.0274 0.2644 0.0547  -0.13
Se 0.3253 0.8624 0.6506  -0.10
Se 0.3226 0.4458 0.6452  -0.12
Se 0.6774 0.5542 0.3548  -0.12
K 0.8465 0.1585 0.6931  0.00
K 0.5000 0.5000 0.0000  -0.01
K 0.1535 0.8415 0.3069  0.00
Np 0.1703 0.3379 0.3406  3.43
Np 0.8297 0.6621 0.6594  3.43
Tl 0.5000 0.0000 0.0000  -0.03

No. 4
This record from the Alexandria database describes an optimized crystal structure of KPr2Br8. The functional is PBE.

Results
- Density: 3.5 g/cm3
- ΔE_f (raw): -1612 meV/atom
- Energy: -41.77 eV per cell
- Relative energy among the computed polymorphs: 0.654 eV/f.u.

a b c (Å): 8.3891 7.6677 7.6677
angles (deg): 73.21 80.18 80.18
Each line ends with the local moment (μB).
Sites, in units of the cell vectors:
Br 0.1890 0.2105 0.2105  0.23
Br 0.7279 0.4439 0.4439  0.00
Br 0.3215 0.6552 0.0399  0.09
Br 0.3215 0.0399 0.6552  0.09
Br 0.2721 0.5561 0.5561  0.00
Br 0.6785 0.3448 0.9601  0.09
Br 0.8110 0.7895 0.7895  0.23
Br 0.6785 0.9601 0.3448  0.09
K 0.0000 0.0000 0.0000  0.00
Pr 0.4602 0.3231 0.3231  -0.01
Pr 0.5398 0.6769 0.6769  -0.01

No. 5
This record from the Alexandria database describes an optimized crystal structure of PrZn2Au6. The functional is PBE.

Results
- Density: 12.0 g/cm3
- ΔH_f (0 K): -0.281 eV/atom
- Energy: -29.52 eV per cell

a b c (Å): 5.6634 5.6634 7.2225
angles (deg): 90.00 90.00 120.00
Sites, in units of the cell vectors:
Au 0.0000 0.5001 0.7932
Au 0.4999 0.0000 0.2068
Au 0.0000 0.4999 0.2068
Au 0.5001 0.5001 0.2068
Au 0.4999 0.4999 0.7932
Au 0.5001 0.0000 0.7932
Pr 0.0000 0.0000 0.0000
Zn 0.6667 0.3333 0.5000
Zn 0.3333 0.6667 0.5000

No. 6
This record from the Alexandria database describes an optimized crystal structure of Li4Tb3ThTe8. The functional is PBE.

Results
- Density: 6.3 g/cm3
- ΔE_f (raw): -1241 meV/atom
- Energy: -73.96 eV per cell

a b c (Å): 8.6925 8.6946 8.6924
angles (deg): 120.00 120.00 90.00
Sites, in units of the cell vectors:
Te 0.2475 0.2427 0.4950
Te 0.2497 0.2385 0.9940
Te 0.2557 0.7615 0.5113
Te 0.2557 0.7615 0.0060
Te 0.7443 0.2385 0.9940
Te 0.7443 0.2385 0.4887
Te 0.7503 0.7615 0.0060
Te 0.7525 0.7573 0.5050
Li 0.0000 0.0000 0.0000
Li 0.0000 0.0000 0.5000
Li 0.5000 0.0000 0.0000
Li 0.5000 0.0000 0.5000
Th 0.0000 0.5000 0.0000
Tb 0.0000 0.5000 0.5000
Tb 0.5000 0.5000 0.5000
Tb 0.5000 0.5000 0.0000

No. 7
This record from the Alexandria database describes an optimized crystal structure of ZnIn2Ag7Sb2. The functional is PBE.

Results
- Density: 8.5 g/cm3
- ΔE_f (raw): 79 meV/atom
- Energy: -34.01 eV per cell

a b c (Å): 3.9936 3.9936 16.0922
angles (deg): 83.12 83.12 90.03
Sites, in units of the cell vectors:
Ag 0.0662 0.5662 0.8660
Ag 0.5662 0.0662 0.8660
Ag 0.7278 0.7278 0.5428
Ag 0.4338 0.9338 0.1340
Ag 0.9338 0.4338 0.1340
Ag 0.5000 0.5000 0.0000
Ag 0.2722 0.2722 0.4572
Sb 0.1844 0.1844 0.6340
Sb 0.8156 0.8156 0.3660
In 0.6387 0.6387 0.7255
In 0.3613 0.3613 0.2745
Zn 0.0000 0.0000 0.0000

No. 8
This record from the Alexandria database describes an optimized crystal structure of CuSn2Au8. The functional is PBE.

Results
- Density: 14.6 g/cm3
- ΔH_f (0 K): -0.041 eV/atom
- Energy: -38.77 eV per cell
- Relative energy among the computed polymorphs: 0.027 eV/f.u.

a b c (Å): 4.3820 6.5072 7.8228
angles (deg): 89.39 106.26 90.00
Sites, in units of the cell vectors:
Au 0.0237 0.7353 0.0474
Au 0.6574 0.8010 0.3147
Au 0.1930 0.5201 0.3861
Au 0.3426 0.1990 0.6853
Au 0.8070 0.4799 0.6139
Au 0.5871 0.3724 0.1743
Au 0.9763 0.2647 0.9526
Au 0.4129 0.6276 0.8257
Sn 0.8449 0.9162 0.6897
Sn 0.1551 0.0838 0.3103
Cu 0.5000 0.0000 0.0000

No. 9
This record from the Alexandria database describes an optimized crystal structure of CoNi2As. The functional is PBE.

Results
- Density: 8.4 g/cm3
- ΔH_f (0 K): 0.176 eV/atom
- Energy: -22.61 eV per cell

a b c (Å): 7.9144 7.9144 7.9144
angles (deg): 19.75 19.75 19.75
Each line ends with the local moment (μB).
Sites, in units of the cell vectors:
Ni 0.9987 0.9987 0.9987  0.20
Ni 0.5013 0.5013 0.5013  0.20
As 0.2500 0.2500 0.2500  -0.03
Co 0.7500 0.7500 0.7500  1.76

No. 10
This record from the Alexandria database describes an optimized crystal structure of KCaY2. The functional is PBE.

Results
- Density: 2.8 g/cm3
- ΔH_f (0 K): 0.393 eV/atom
- Energy: -14.45 eV per cell
- Relative energy among the computed polymorphs: 0.844 eV/f.u.

a b c (Å): 3.8573 6.1307 6.5300
angles (deg): 90.00 90.00 90.00
Sites, in units of the cell vectors:
Y 0.0000 0.0000 0.0000
Y 0.5000 0.5000 0.0000
K 0.0000 0.5000 0.5000
Ca 0.5000 0.0000 0.5000

No. 11
This record from the Alexandria database describes an optimized crystal structure of DyHo3Tm2. The functional is PBE.

Results
- Density: 9.0 g/cm3
- ΔH_f (0 K): -0.002 eV/atom
- Energy: -54.58 eV per cell

a b c (Å): 7.0797 6.1265 9.3930
angles (deg): 102.57 112.14 90.00
Sites, in units of the cell vectors:
Dy 0.6247 0.7500 0.0000
Dy 0.3753 0.2500 0.0000
Tm 0.4578 0.9716 0.6653
Tm 0.2075 0.4716 0.6653
Tm 0.7925 0.5284 0.3347
Tm 0.5422 0.0284 0.3347
Ho 0.8746 0.2500 0.0000
Ho 0.2925 0.5287 0.3353
Ho 0.7075 0.4713 0.6647
Ho 0.0428 0.0287 0.3353
Ho 0.9572 0.9713 0.6647
Ho 0.1254 0.7500 0.0000

No. 12
This record from the Alexandria database describes an optimized crystal structure of Si2BO. The functional is PBE.

Results
- Density: 3.5 g/cm3
- ΔE_f (raw): 496 meV/atom
- Energy: -20.50 eV per cell
- Relative energy among the computed polymorphs: 3.537 eV/f.u.

a b c (Å): 3.8005 3.8005 3.8005
angles (deg): 60.00 60.00 60.00
Sites, in units of the cell vectors:
O 0.5000 0.5000 0.5000
Si 0.2500 0.2500 0.2500
Si 0.7500 0.7500 0.7500
B 0.0000 0.0000 0.0000